(1)
DFT (PBE-GGA) results for Be8Nb3Ni after structural relaxation.

Properties
- E_form (eV/f.u.) = -2.40
- space group = No. 160
- final energy (eV per atom) = -5.683
- magnetic moment (μB per formula unit) = 0.00

Lattice parameters (Å, degrees): 4.520 4.520 7.840 73.25 73.25 60.00
Sites, in units of the cell vectors:
Be 0.935 0.438 0.189
Be 0.432 0.942 0.684
Be 0.438 0.438 0.189
Be 0.942 0.942 0.684
Be 0.187 0.187 0.439
Be 0.687 0.687 0.939
Be 0.438 0.935 0.189
Be 0.942 0.432 0.684
Nb 0.376 0.376 0.872
Nb 0.995 0.995 0.015
Nb 0.503 0.503 0.492
Ni 0.875 0.875 0.374


(2)
DFT (PBE-GGA) results for Ac3TlSe after structural relaxation.

Properties
- space group = No. 221
- energy relative to the lowest polymorph listed for this composition (eV/f.u.) = 1.27
- final energy (eV per atom) = -4.217
- formation energy (no corrections) (eV/atom) = -0.58
- magnetic moment (μB per formula unit) = 0.00

Lattice parameters (Å, degrees): 5.926 5.926 5.926 90.00 90.00 90.00
Sites, in units of the cell vectors:
Ac 0.000 0.500 0.000
Ac 0.000 0.000 0.500
Ac 0.500 0.000 0.000
Tl 0.500 0.500 0.500
Se 0.000 0.000 0.000


(3)
DFT (PBE-GGA) results for CsIn2Ge2 after structural relaxation.

Properties
- E_form (eV/f.u.) = -0.26
- space group = No. 139
- energy relative to the lowest polymorph listed for this composition (eV/f.u.) = 0.00
- final energy (eV per atom) = -3.164
- magnetic moment (μB per formula unit) = 0.00

Lattice parameters (Å, degrees): 5.198 5.198 6.531 66.55 66.55 90.00
Sites, in units of the cell vectors:
Cs 0.000 0.000 0.000
Ge 0.378 0.378 0.243
Ge 0.622 0.622 0.757
In 0.750 0.250 0.500
In 0.250 0.750 0.500


(4)
DFT (PBE-GGA) results for CrRe4Tc after structural relaxation.

Properties
- E_form (eV/f.u.) = 7.38
- space group = No. 137
- energy relative to the lowest polymorph listed for this composition (eV/f.u.) = 5.03
- final energy (eV per atom) = -10.401
- magnetic moment (μB per formula unit) = 0.00

Lattice parameters (Å, degrees): 5.234 5.234 7.926 90.00 90.00 90.00
Sites, in units of the cell vectors:
Cr 0.000 0.000 0.500
Cr 0.500 0.500 0.000
Re 0.274 0.000 0.261
Re 0.726 0.000 0.261
Re 0.000 0.726 0.739
Re 0.000 0.274 0.739
Re 0.500 0.226 0.761
Re 0.774 0.500 0.239
Re 0.226 0.500 0.239
Re 0.500 0.774 0.761
Tc 0.000 0.000 0.000
Tc 0.500 0.500 0.500


(5)
DFT (PBE-GGA) results for BeGeCl3 after structural relaxation.

Properties
- space group = No. 221
- energy relative to the lowest polymorph listed for this composition (eV/f.u.) = 2.30
- final energy (eV per atom) = -2.702
- formation energy (no corrections) (eV/atom) = 0.07
- magnetic moment (μB per formula unit) = 0.86

Lattice parameters (Å, degrees): 5.106 5.106 5.106 90.00 90.00 90.00
Site moments in Bohr magnetons follow the coordinates.
Sites, in units of the cell vectors:
Be 0.500 0.500 0.500  0.28
Ge 0.000 0.000 0.000  0.02
Cl 0.000 0.500 0.000  0.05
Cl 0.000 0.000 0.500  0.03
Cl 0.500 0.000 0.000  0.04


(6)
DFT (PBE-GGA) results for YTmSe3 after structural relaxation.

Properties
- space group = No. 148
- energy relative to the lowest polymorph listed for this composition (eV/f.u.) = 0.00
- final energy (eV per atom) = -6.129
- formation energy (no corrections) (eV/atom) = -1.85
- magnetic moment (μB per formula unit) = 0.00

Lattice parameters (Å, degrees): 7.152 7.152 7.667 62.20 62.20 60.00
Sites, in units of the cell vectors:
Y 0.348 0.348 0.955
Y 0.652 0.652 0.045
Tm 0.847 0.847 0.460
Tm 0.153 0.153 0.540
Se 0.755 0.443 0.748
Se 0.055 0.755 0.748
Se 0.443 0.055 0.748
Se 0.245 0.557 0.252
Se 0.945 0.245 0.252
Se 0.557 0.945 0.252


(7)
DFT (PBE-GGA) results for Pr2AgIrC after structural relaxation.

Properties
- E_form (eV/f.u.) = -2.01
- space group = No. 123
- final energy (eV per atom) = -6.501
- magnetic moment (μB per formula unit) = 0.00

Lattice parameters (Å, degrees): 3.885 5.329 5.329 90.00 90.00 90.00
Sites, in units of the cell vectors:
Pr 0.000 0.000 0.500
Pr 0.000 0.500 0.000
Ag 0.500 0.500 0.500
Ir 0.500 0.000 0.000
C 0.000 0.000 0.000


(8)
DFT (PBE-GGA) results for BaAlCuAgO5 after structural relaxation.

Properties
- space group = No. 1
- energy relative to the lowest polymorph listed for this composition (eV/f.u.) = 0.00
- final energy (eV per atom) = -5.594
- formation energy (no corrections) (eV/atom) = -1.44
- magnetic moment (μB per formula unit) = 0.00

Lattice parameters (Å, degrees): 4.222 4.543 7.126 89.17 107.41 89.07
Sites, in units of the cell vectors:
Ba 0.021 0.055 0.043
Al 0.586 0.129 0.546
Cu 0.276 0.555 0.721
Ag 0.693 0.551 0.298
O 0.280 0.434 0.466
O 0.648 0.035 0.316
O 0.937 0.302 0.705
O 0.532 0.876 0.722
O 0.338 0.563 0.995